Density functional theory data (PBE) for a relaxed structure of HfAsBr2O.

The structure in POSCAR format:
```
HfAsBr2O
1.0
-0.360 0.825 -5.140
0.730 -5.093 -0.869
-5.214 -0.789 0.239
Hf O As Br
1 1 1 2
direct
0.000 0.000 0.000
0.500 0.500 0.500
0.000 0.000 0.500
0.000 0.500 0.000
0.500 0.000 0.000
```

Output
Magnetization (μB/f.u.): 0.963
VASP energy (eV/atom): -4.4895
Uncorrected formation energy (meV/atom): 92